# Ho12MgNi6 PBE optimized geometry
# Fermi-level density of states in states/eV/cell: 57.54
# Calculated formation energy in eV/atom: -0.187
# Energy relative to the lowest polymorph listed for this composition in eV/atom: 0.118
# Energy in eV per cell: -284.28
data_Ho12MgNi6
_cell_length_a 13.7269
_cell_length_b 13.7269
_cell_length_c 8.6957
_cell_angle_alpha 90.00
_cell_angle_beta 90.00
_cell_angle_gamma 120.00
_symmetry_space_group_name_H-M 'R -3'
_symmetry_Int_Tables_number 148
_symmetry_space_group_name_Hall '-R 3'
loop_
_atom_site_label
_atom_site_fract_x
_atom_site_fract_y
_atom_site_fract_z
Ho1 0.0380 0.7776 0.4268
Ho2 0.0613 0.8820 0.8321
Mg1 0.0000 0.0000 0.5000
Ni1 0.0747 0.5721 0.7880